[1]
# Ac2Mg5Hg4

A relaxed Ac2Mg5Hg4 crystal (PBE, Alexandria).

Lattice parameters (Å, degrees): 6.2641 6.1434 9.5226 80.35 70.80 59.35
Closest atoms and distances in Å follow each position.
Positions (direct):
Mg (0.7500, 0.5000, 0.5000)  4 Hg 2.84, 2 Mg 3.13
Mg (0.5000, 0.5000, 0.0000)  4 Hg 3.01, 4 Mg 3.07-3.13
Mg (0.5000, 0.0000, 0.0000)  4 Hg 2.86, 4 Mg 3.07
Mg (0.2500, 0.5000, 0.5000)  4 Hg 2.84, 2 Mg 3.13
Mg (0.0000, 0.5000, 0.0000)  4 Hg 3.01, 4 Mg 3.07-3.13
Hg (0.7843, 0.6941, 0.7374)  5 Mg 2.84-3.01
Hg (0.4784, 0.3059, 0.7374)  5 Mg 2.84-3.01
Hg (0.2157, 0.3059, 0.2626)  5 Mg 2.84-3.01
Hg (0.5216, 0.6941, 0.2626)  5 Mg 2.84-3.01
Ac (0.1243, 0.0000, 0.7514)  6 Hg 3.53-3.67, 10 Mg 3.80-3.85
Ac (0.8757, 0.0000, 0.2486)  6 Hg 3.53-3.67, 10 Mg 3.80-3.85

Results
ΔH_f (0 K), meV/atom: -277
Spin magnetization, μB per formula unit: 0.00
Final energy, eV per atom: -1.86
Calculated volume, Å³/atom: 27.06

[2]
# Ac3Mg7Hg2

A relaxed Ac3Mg7Hg2 crystal (PBE, Alexandria).

Lattice parameters (Å, degrees): 6.2898 6.2898 10.5099 72.59 72.59 60.00
Closest atoms and distances in Å follow each position.
Positions (direct):
Mg (0.5799, 0.5799, 0.7627)  2 Hg 2.95-2.97, 5 Mg 3.13-3.17
Mg (0.4201, 0.4201, 0.2373)  2 Hg 2.95-2.97, 5 Mg 3.13-3.17
Mg (0.9224, 0.4201, 0.2373)  2 Hg 2.95-2.97, 5 Mg 3.13-3.17
Mg (0.5000, 0.5000, 0.5000)  6 Mg 3.17
Mg (0.5799, 0.0776, 0.7627)  2 Hg 2.95-2.97, 5 Mg 3.13-3.17
Mg (0.0776, 0.5799, 0.7627)  2 Hg 2.95-2.97, 5 Mg 3.13-3.17
Mg (0.4201, 0.9224, 0.2373)  2 Hg 2.95-2.97, 5 Mg 3.13-3.17
Ac (0.1441, 0.1441, 0.5676)  12 Mg 3.69-3.73, 3 Ac 3.87
Ac (0.8559, 0.8559, 0.4324)  12 Mg 3.69-3.73, 3 Ac 3.87
Ac (0.0000, 0.0000, 0.0000)  6 Hg 3.63, 12 Mg 3.92
Hg (0.3340, 0.3340, 0.9981)  6 Mg 2.95-2.97
Hg (0.6660, 0.6660, 0.0019)  6 Mg 2.95-2.97

Results
ΔH_f (0 K), meV/atom: -219
Spin magnetization, μB per formula unit: 0.00
Final energy, eV per atom: -2.23
Calculated volume, Å³/atom: 28.16

[3]
# AcMg9Hg2

A relaxed AcMg9Hg2 crystal (PBE, Alexandria).

Lattice parameters (Å, degrees): 3.6024 9.7684 9.7684 120.00 90.00 90.00
Closest atoms and distances in Å follow each position.
Positions (direct):
Ac (0.0000, 0.0000, 0.0000)  2 Ac 3.60, 12 Mg 3.69
Mg (0.5000, 0.8094, 0.1906)  2 Hg 3.01, 6 Mg 3.20-3.23
Mg (0.5000, 0.3813, 0.1906)  2 Hg 3.01, 6 Mg 3.20-3.23
Mg (0.5000, 0.1906, 0.3813)  2 Hg 3.01, 6 Mg 3.20-3.23
Mg (0.0000, 0.5000, 0.0000)  2 Hg 2.82
Mg (0.5000, 0.8094, 0.6187)  2 Hg 3.01, 6 Mg 3.20-3.23
Mg (0.0000, 0.5000, 0.5000)  2 Hg 2.82
Mg (0.5000, 0.1906, 0.8094)  2 Hg 3.01, 6 Mg 3.20-3.23
Mg (0.5000, 0.6187, 0.8094)  2 Hg 3.01, 6 Mg 3.20-3.23
Mg (0.0000, 0.0000, 0.5000)  2 Hg 2.82
Hg (0.0000, 0.3333, 0.6667)  9 Mg 2.82-3.01
Hg (0.0000, 0.6667, 0.3333)  9 Mg 2.82-3.01

Results
ΔH_f (0 K), meV/atom: -115
Spin magnetization, μB per formula unit: 0.00
Final energy, eV per atom: -1.70
Energy relative to the lowest polymorph listed for this composition, meV/atom: 59
Calculated volume, Å³/atom: 24.81

[4]
# AcMg6Hg12

A relaxed AcMg6Hg12 crystal (PBE, Alexandria).

Lattice parameters (Å, degrees): 8.6548 8.6548 8.6548 109.47 109.47 109.47
Closest atoms and distances in Å follow each position.
Positions (direct):
Mg (0.3500, 0.5000, 0.8500)  2 Hg 2.79, 1 Mg 3.00
Mg (0.6500, 0.5000, 0.1500)  2 Hg 2.79, 1 Mg 3.00
Mg (0.1500, 0.6500, 0.5000)  2 Hg 2.79, 1 Mg 3.00
Mg (0.8500, 0.3500, 0.5000)  2 Hg 2.79, 1 Mg 3.00
Mg (0.5000, 0.8500, 0.3500)  2 Hg 2.79, 1 Mg 3.00
Mg (0.5000, 0.1500, 0.6500)  2 Hg 2.79, 1 Mg 3.00
Hg (0.8248, 0.7181, 0.5429)  1 Mg 2.79
Hg (0.1067, 0.8248, 0.2819)  1 Mg 2.79
Hg (0.7181, 0.8933, 0.1752)  1 Mg 2.79
Hg (0.4571, 0.1752, 0.2819)  1 Mg 2.79
Hg (0.2819, 0.4571, 0.1752)  1 Mg 2.79
Hg (0.8933, 0.1752, 0.7181)  1 Mg 2.79
Hg (0.1752, 0.7181, 0.8933)  1 Mg 2.79
Hg (0.5429, 0.8248, 0.7181)  1 Mg 2.79
Hg (0.1752, 0.2819, 0.4571)  1 Mg 2.79
Hg (0.7181, 0.5429, 0.8248)  1 Mg 2.79
Hg (0.8248, 0.2819, 0.1067)  1 Mg 2.79
Hg (0.2819, 0.1067, 0.8248)  1 Mg 2.79
Ac (0.0000, 0.0000, 0.0000)  12 Hg 3.32

Results
ΔH_f (0 K), meV/atom: -97
Spin magnetization, μB per formula unit: 0.00
Final energy, eV per atom: -1.01
Energy relative to the lowest polymorph listed for this composition, meV/atom: 91
Calculated volume, Å³/atom: 26.27

[5]
# NaAcMgHg

A relaxed NaAcMgHg crystal (PBE, Alexandria).

Lattice parameters (Å, degrees): 5.4387 5.4387 5.4387 60.00 60.00 60.00
Closest atoms and distances in Å follow each position.
Positions (direct):
Na (0.0000, 0.0000, 0.0000)  4 Mg 3.33, 4 Ac 3.33
Mg (0.2500, 0.2500, 0.2500)  4 Hg 3.33, 4 Na 3.33
Ac (0.7500, 0.7500, 0.7500)  4 Hg 3.33, 4 Na 3.33
Hg (0.5000, 0.5000, 0.5000)  4 Ac 3.33, 4 Mg 3.33

Results
ΔH_f (0 K), meV/atom: -164
Spin magnetization, μB per formula unit: 0.00
Final energy, eV per atom: -1.99
Calculated volume, Å³/atom: 28.44

[6]
# AcNd2MgHg4

A relaxed AcNd2MgHg4 crystal (PBE, Alexandria).

Lattice parameters (Å, degrees): 5.2572 5.2572 9.9724 74.72 74.72 60.00
Closest atoms and distances in Å follow each position.
Positions (direct):
Hg (0.8728, 0.8728, 0.3815)  4 Nd 3.17, 3 Mg 3.24
Hg (0.1272, 0.1272, 0.6185)  4 Nd 3.17, 3 Mg 3.24
Hg (0.3854, 0.3854, 0.8438)  1 Mg 3.27, 3 Nd 3.27, 3 Ac 3.38
Hg (0.6146, 0.6146, 0.1562)  1 Mg 3.27, 3 Nd 3.27, 3 Ac 3.38
Nd (0.2383, 0.2383, 0.2851)  7 Hg 3.17-3.27
Nd (0.7617, 0.7617, 0.7149)  7 Hg 3.17-3.27
Mg (0.5000, 0.5000, 0.5000)  8 Hg 3.24-3.27
Ac (0.0000, 0.0000, 0.0000)  8 Hg 3.38-3.62

Results
ΔH_f (0 K), meV/atom: -432
Spin magnetization, μB per formula unit: 0.00
Final energy, eV per atom: -2.49
Calculated volume, Å³/atom: 28.42

[7]
# AcNdMgHg

A relaxed AcNdMgHg crystal (PBE, Alexandria).

Lattice parameters (Å, degrees): 3.9738 3.9738 7.9226 90.00 90.00 90.00
Closest atoms and distances in Å follow each position.
Positions (direct):
Hg (0.5000, 0.5000, 0.5788)  4 Nd 3.29, 1 Mg 3.55, 4 Ac 3.57
Ac (0.0000, 0.0000, 0.8562)  4 Mg 3.55, 4 Hg 3.57, 1 Nd 3.91, 4 Ac 3.97
Mg (0.5000, 0.5000, 0.1304)  4 Nd 3.36, 4 Ac 3.55, 1 Hg 3.55
Nd (0.0000, 0.0000, 0.3625)  4 Hg 3.29, 4 Mg 3.36

Results
ΔH_f (0 K), meV/atom: -273
Spin magnetization, μB per formula unit: 0.00
Final energy, eV per atom: -2.97
Energy relative to the lowest polymorph listed for this composition, meV/atom: 0
Calculated volume, Å³/atom: 31.28

[8]
# AcNdMgHg

A relaxed AcNdMgHg crystal (PBE, Alexandria).

Lattice parameters (Å, degrees): 5.6128 5.6128 5.6128 60.00 60.00 60.00
Closest atoms and distances in Å follow each position.
Positions (direct):
Mg (0.0000, 0.0000, 0.0000)  4 Ac 3.44, 4 Nd 3.44
Nd (0.2500, 0.2500, 0.2500)  4 Hg 3.44, 4 Mg 3.44
Hg (0.5000, 0.5000, 0.5000)  4 Ac 3.44, 4 Nd 3.44
Ac (0.7500, 0.7500, 0.7500)  4 Hg 3.44, 4 Mg 3.44

Results
ΔH_f (0 K), meV/atom: -237
Spin magnetization, μB per formula unit: 0.00
Final energy, eV per atom: -2.93
Energy relative to the lowest polymorph listed for this composition, meV/atom: 36
Calculated volume, Å³/atom: 31.26

[9]
# AcMgNiHg

A relaxed AcMgNiHg crystal (PBE, Alexandria).

Lattice parameters (Å, degrees): 5.1693 5.1693 5.1693 60.00 60.00 60.00
Closest atoms and distances in Å follow each position.
Positions (direct):
Mg (0.5000, 0.5000, 0.5000)  4 Ni 3.17, 4 Hg 3.17
Ac (0.0000, 0.0000, 0.0000)  4 Hg 3.17, 4 Ni 3.17
Hg (0.7500, 0.7500, 0.7500)  4 Mg 3.17, 4 Ac 3.17
Ni (0.2500, 0.2500, 0.2500)  4 Ac 3.17, 4 Mg 3.17

Results
ΔH_f (0 K), meV/atom: -148
Spin magnetization, μB per formula unit: 0.00
Final energy, eV per atom: -3.09
Calculated volume, Å³/atom: 24.42

[10]
# Ac2Mg4Hg3Pb

A relaxed Ac2Mg4Hg3Pb crystal (PBE, Alexandria).

Lattice parameters (Å, degrees): 4.9386 4.9386 11.2323 90.00 90.00 90.00
Closest atoms and distances in Å follow each position.
Positions (direct):
Mg (0.0000, 0.0000, 0.0000)  4 Hg 2.85
Mg (0.5000, 0.0000, 0.6346)  3 Hg 2.69-2.90, 2 Pb 2.90
Mg (0.5000, 0.5000, 0.0000)  4 Hg 2.85
Mg (0.0000, 0.5000, 0.3654)  3 Hg 2.69-2.90, 2 Pb 2.90
Hg (0.5000, 0.0000, 0.8737)  5 Mg 2.69-2.85
Hg (0.0000, 0.5000, 0.1263)  5 Mg 2.69-2.85
Hg (0.0000, 0.0000, 0.5000)  4 Mg 2.90
Ac (0.0000, 0.5000, 0.7460)  6 Hg 3.71-3.78, 2 Pb 3.71, 8 Mg 3.71-3.77
Ac (0.5000, 0.0000, 0.2540)  6 Hg 3.71-3.78, 2 Pb 3.71, 8 Mg 3.71-3.77
Pb (0.5000, 0.5000, 0.5000)  4 Mg 2.90

Results
ΔH_f (0 K), meV/atom: -337
Spin magnetization, μB per formula unit: 0.00
Final energy, eV per atom: -2.26
Calculated volume, Å³/atom: 27.40

[11]
# Ac2MgHg6Pb

A relaxed Ac2MgHg6Pb crystal (PBE, Alexandria).

Lattice parameters (Å, degrees): 7.2319 7.2319 13.6330 74.62 74.62 60.00
Closest atoms and distances in Å follow each position.
Positions (direct):
Hg (0.6684, 0.0704, 0.5928)  1 Mg 2.77, 2 Hg 2.91, 1 Pb 3.02
Hg (0.7811, 0.3423, 0.0955)  1 Mg 2.65
Hg (0.3423, 0.7811, 0.0955)  1 Mg 2.65
Hg (0.3316, 0.9296, 0.4072)  1 Mg 2.77, 2 Hg 2.91, 1 Pb 3.02
Hg (0.7811, 0.7811, 0.0955)  1 Mg 2.65
Hg (0.9296, 0.3316, 0.4072)  1 Mg 2.77, 2 Hg 2.91, 1 Pb 3.02
Hg (0.6577, 0.2189, 0.9045)  1 Mg 2.65
Hg (0.6684, 0.6684, 0.5928)  1 Mg 2.77, 2 Hg 2.91, 1 Pb 3.02
Hg (0.0704, 0.6684, 0.5928)  1 Mg 2.77, 2 Hg 2.91, 1 Pb 3.02
Hg (0.3316, 0.3316, 0.4072)  1 Mg 2.77, 2 Hg 2.91, 1 Pb 3.02
Hg (0.2189, 0.6577, 0.9045)  1 Mg 2.65
Hg (0.2189, 0.2189, 0.9045)  1 Mg 2.65
Mg (0.0000, 0.0000, 0.0000)  6 Hg 2.65
Mg (0.5000, 0.5000, 0.5000)  6 Hg 2.77, 2 Pb 2.90
Ac (0.7166, 0.7166, 0.8501)  12 Hg 3.67-3.74
Ac (0.1081, 0.1081, 0.6758)  12 Hg 3.78-3.87, 1 Mg 4.21, 3 Pb 4.22
Ac (0.2834, 0.2834, 0.1499)  12 Hg 3.67-3.74
Ac (0.8919, 0.8919, 0.3242)  12 Hg 3.78-3.87, 1 Mg 4.21, 3 Pb 4.22
Pb (0.4254, 0.4254, 0.7238)  1 Mg 2.90, 6 Hg 2.98-3.02
Pb (0.5746, 0.5746, 0.2762)  1 Mg 2.90, 6 Hg 2.98-3.02

Results
ΔH_f (0 K), meV/atom: -185
Spin magnetization, μB per formula unit: 0.00
Final energy, eV per atom: -1.72
Calculated volume, Å³/atom: 29.39

[12]
# Ac2MgHg4Pb2

A relaxed Ac2MgHg4Pb2 crystal (PBE, Alexandria).

Lattice parameters (Å, degrees): 7.2439 7.2439 7.2439 87.20 121.63 121.63
Closest atoms and distances in Å follow each position.
Positions (direct):
Ac (0.5000, 0.7500, 0.2500)  4 Pb 3.55, 8 Hg 3.63
Ac (0.5000, 0.2500, 0.7500)  4 Pb 3.55, 8 Hg 3.63
Hg (0.0000, 0.7246, 0.2754)  1 Mg 2.75
Hg (0.4491, 0.7246, 0.7246)  1 Mg 2.75
Hg (0.5509, 0.2754, 0.2754)  1 Mg 2.75
Hg (0.0000, 0.2754, 0.7246)  1 Mg 2.75
Mg (0.0000, 0.0000, 0.0000)  4 Hg 2.75, 2 Pb 2.96
Pb (0.0000, 0.2819, 0.2819)  1 Mg 2.96, 4 Hg 3.20
Pb (0.0000, 0.7181, 0.7181)  1 Mg 2.96, 4 Hg 3.20

Results
ΔH_f (0 K), meV/atom: -354
Spin magnetization, μB per formula unit: 0.00
Final energy, eV per atom: -2.40
Calculated volume, Å³/atom: 29.09